No. 1
PBE Ce2PaPt5, relaxed; energy of formation = -984 meV per atom; size of the total moment = 1.6 Bohr magnetons per cell; space-group type = No. 55; uncorrected energy = -7.43 eV/atom
1.0
5.965 0.000 0.000
0.000 11.236 0.000
0.000 0.000 4.951
Ce Pa Pt
4 2 10
direct
0.144 0.155 0.000
0.356 0.655 0.000
0.644 0.345 0.000
0.856 0.845 0.000
0.000 0.500 0.500
0.500 0.000 0.500
0.000 0.000 0.500
0.159 0.758 0.500
0.176 0.413 0.000
0.324 0.913 0.000
0.341 0.258 0.500
0.500 0.500 0.500
0.659 0.742 0.500
0.676 0.087 0.000
0.824 0.587 0.000
0.841 0.242 0.500

---

No. 2
PBE Ce2Pa2Pt15, relaxed; energy of formation = -696 meV per atom; size of the total moment = 0.8 Bohr magnetons per cell; space-group type = No. 166; uncorrected energy = -7.09 eV/atom
1.0
4.662 2.692 4.691
-4.662 2.692 4.691
0.000 -5.383 4.691
Ce Pa Pt
2 2 15
direct
0.144 0.144 0.144
0.856 0.856 0.856
0.399 0.399 0.399
0.601 0.601 0.601
0.000 0.500 0.500
0.155 0.155 0.660
0.155 0.660 0.155
0.186 0.500 0.814
0.186 0.814 0.500
0.340 0.845 0.845
0.500 0.000 0.500
0.500 0.186 0.814
0.500 0.500 0.000
0.500 0.814 0.186
0.660 0.155 0.155
0.814 0.186 0.500
0.814 0.500 0.186
0.845 0.340 0.845
0.845 0.845 0.340

---

No. 3
PBE CePa2Pt6, relaxed; energy of formation = -928 meV per atom; size of the total moment = 0.6 Bohr magnetons per cell; space-group type = No. 71; uncorrected energy = -7.72 eV/atom
1.0
-1.834 3.558 7.336
1.834 -3.558 7.336
1.834 3.558 -7.336
Ce Pa Pt
1 2 6
direct
0.000 0.000 0.000
0.359 0.859 0.500
0.641 0.141 0.500
0.025 0.321 0.704
0.307 0.500 0.807
0.383 0.679 0.704
0.617 0.321 0.296
0.693 0.500 0.193
0.975 0.679 0.296

---

No. 4
PBE Ce2Pa3Pt7, relaxed; energy of formation = -941 meV per atom; size of the total moment = 1.0 Bohr magnetons per cell; space-group type = No. 12; uncorrected energy = -7.83 eV/atom
1.0
10.355 -2.227 0.000
10.355 2.227 0.000
-0.059 0.000 5.759
Ce Pa Pt
2 3 7
direct
0.137 0.137 0.342
0.863 0.863 0.658
0.314 0.314 0.153
0.500 0.500 0.000
0.686 0.686 0.847
0.000 0.000 0.500
0.092 0.092 0.876
0.264 0.264 0.679
0.429 0.429 0.425
0.571 0.571 0.575
0.736 0.736 0.321
0.908 0.908 0.124

---

No. 5
PBE Ce2PaPt, relaxed; energy of formation = -129 meV per atom; size of the total moment = 0.0 Bohr magnetons per cell; space-group type = No. 166; uncorrected energy = -6.98 eV/atom; distance to the lowest polymorph of the same formula = 300.8 meV per atom
1.0
3.079 0.000 0.000
-1.539 2.666 0.000
0.000 0.000 32.650
Ce Pa Pt
6 3 3
direct
0.000 0.000 0.091
0.000 0.000 0.909
0.333 0.667 0.576
0.333 0.667 0.758
0.667 0.333 0.242
0.667 0.333 0.424
0.000 0.000 0.000
0.333 0.667 0.667
0.667 0.333 0.333
0.000 0.000 0.500
0.333 0.667 0.167
0.667 0.333 0.833

---

No. 6
PBE Ce2PaPt, relaxed; energy of formation = -430 meV per atom; size of the total moment = 0.6 Bohr magnetons per cell; space-group type = No. 123; uncorrected energy = -7.28 eV/atom; distance to the lowest polymorph of the same formula = 0.0 meV per atom
1.0
3.565 0.000 0.000
0.000 3.565 0.000
0.000 0.000 7.601
Ce Pa Pt
2 1 1
direct
0.000 0.000 0.226
0.000 0.000 0.774
0.500 0.500 0.500
0.500 0.500 0.000

---

No. 7
PBE Ce4PaPt5, relaxed; energy of formation = -1006 meV per atom; size of the total moment = 3.0 Bohr magnetons per cell; space-group type = No. 87; uncorrected energy = -7.35 eV/atom
1.0
-4.620 4.620 2.922
4.620 -4.620 2.922
4.620 4.620 -2.922
Ce Pa Pt
4 1 5
direct
0.099 0.701 0.800
0.299 0.099 0.398
0.701 0.901 0.602
0.901 0.299 0.200
0.500 0.500 0.000
0.000 0.000 0.000
0.209 0.404 0.612
0.404 0.791 0.195
0.596 0.209 0.805
0.791 0.596 0.388

---

No. 8
PBE CePaPt, relaxed; energy of formation = -307 meV per atom; size of the total moment = 5.6 Bohr magnetons per cell; space-group type = No. 216; uncorrected energy = -7.46 eV/atom; distance to the lowest polymorph of the same formula = 304.5 meV per atom
1.0
6.862 0.000 0.000
0.000 6.862 0.000
0.000 0.000 6.862
Ce Pa Pt
4 4 4
direct
0.000 0.000 0.000
0.000 0.500 0.500
0.500 0.000 0.500
0.500 0.500 0.000
0.000 0.000 0.500
0.000 0.500 0.000
0.500 0.000 0.000
0.500 0.500 0.500
0.250 0.250 0.750
0.250 0.750 0.250
0.750 0.250 0.250
0.750 0.750 0.750

---

No. 9
PBE CePa2Pt, relaxed; energy of formation = -370 meV per atom; size of the total moment = 0.0 Bohr magnetons per cell; space-group type = No. 123; uncorrected energy = -8.11 eV/atom; distance to the lowest polymorph of the same formula = 0.0 meV per atom
1.0
5.269 0.000 0.000
0.000 5.269 0.000
0.000 0.000 3.214
Ce Pa Pt
1 2 1
direct
0.000 0.000 0.000
0.000 0.500 0.500
0.500 0.000 0.500
0.500 0.500 0.000

---

No. 10
PBE CePaPt, relaxed; energy of formation = -469 meV per atom; size of the total moment = 0.9 Bohr magnetons per cell; space-group type = No. 156; uncorrected energy = -7.63 eV/atom; distance to the lowest polymorph of the same formula = 142.7 meV per atom
1.0
4.655 0.000 0.000
-2.328 4.032 0.000
0.000 0.000 3.733
Ce Pa Pt
1 1 1
direct
0.000 0.000 0.000
0.333 0.667 0.330
0.667 0.333 0.597

---

No. 11
PBE CePuPaPt, relaxed; energy of formation = -350 meV per atom; size of the total moment = 25.1 Bohr magnetons per cell; space-group type = No. 216; uncorrected energy = -9.30 eV/atom
1.0
7.063 0.000 0.000
0.000 7.063 0.000
0.000 0.000 7.063
Ce Pu Pa Pt
4 4 4 4
direct
0.000 0.000 0.000
0.000 0.500 0.500
0.500 0.000 0.500
0.500 0.500 0.000
0.250 0.250 0.750
0.250 0.750 0.250
0.750 0.250 0.250
0.750 0.750 0.750
0.250 0.250 0.250
0.250 0.750 0.750
0.750 0.250 0.750
0.750 0.750 0.250
0.000 0.000 0.500
0.000 0.500 0.000
0.500 0.000 0.000
0.500 0.500 0.500

---

No. 12
PBE CePaPtRh, relaxed; energy of formation = -710 meV per atom; size of the total moment = 3.9 Bohr magnetons per cell; space-group type = No. 216; uncorrected energy = -7.92 eV/atom; distance to the lowest polymorph of the same formula = 173.2 meV per atom
1.0
6.991 0.000 0.000
0.000 6.991 0.000
0.000 0.000 6.991
Ce Pa Pt Rh
4 4 4 4
direct
0.000 0.000 0.000
0.000 0.500 0.500
0.500 0.000 0.500
0.500 0.500 0.000
0.000 0.000 0.500
0.000 0.500 0.000
0.500 0.000 0.000
0.500 0.500 0.500
0.250 0.250 0.250
0.250 0.750 0.750
0.750 0.250 0.750
0.750 0.750 0.250
0.250 0.250 0.750
0.250 0.750 0.250
0.750 0.250 0.250
0.750 0.750 0.750

---

No. 13
PBE CePaPtRh, relaxed; energy of formation = -883 meV per atom; size of the total moment = 1.1 Bohr magnetons per cell; space-group type = No. 38; uncorrected energy = -8.09 eV/atom; distance to the lowest polymorph of the same formula = 0.0 meV per atom
1.0
4.267 0.000 0.000
0.000 3.778 0.000
0.000 0.000 11.084
Ce Pa Pt Rh
2 2 2 2
direct
0.000 0.000 0.000
0.000 0.500 0.500
0.500 0.000 0.724
0.500 0.500 0.224
0.500 0.000 0.450
0.500 0.500 0.950
0.000 0.000 0.257
0.000 0.500 0.757

---

No. 14
PBE CePaPtRh, relaxed; energy of formation = -830 meV per atom; size of the total moment = 0.0 Bohr magnetons per cell; space-group type = No. 216; uncorrected energy = -8.04 eV/atom; distance to the lowest polymorph of the same formula = 53.4 meV per atom
1.0
6.725 0.000 0.000
0.000 6.725 0.000
0.000 0.000 6.725
Ce Pa Pt Rh
4 4 4 4
direct
0.000 0.000 0.000
0.000 0.500 0.500
0.500 0.000 0.500
0.500 0.500 0.000
0.250 0.250 0.250
0.250 0.750 0.750
0.750 0.250 0.750
0.750 0.750 0.250
0.000 0.000 0.500
0.000 0.500 0.000
0.500 0.000 0.000
0.500 0.500 0.500
0.250 0.250 0.750
0.250 0.750 0.250
0.750 0.250 0.250
0.750 0.750 0.750

---

No. 15
PBE Ce2PaPtRh5, relaxed; energy of formation = -454 meV per atom; size of the total moment = 0.0 Bohr magnetons per cell; space-group type = No. 127; uncorrected energy = -7.58 eV/atom
1.0
8.026 0.000 0.000
0.000 8.026 0.000
0.000 0.000 5.532
Ce Pa Pt Rh
4 2 2 10
direct
0.131 0.369 0.000
0.369 0.869 0.000
0.631 0.131 0.000
0.869 0.631 0.000
0.000 0.000 0.500
0.500 0.500 0.500
0.000 0.500 0.500
0.500 0.000 0.500
0.000 0.000 0.000
0.199 0.699 0.261
0.199 0.699 0.739
0.301 0.199 0.261
0.301 0.199 0.739
0.500 0.500 0.000
0.699 0.801 0.261
0.699 0.801 0.739
0.801 0.301 0.261
0.801 0.301 0.739

---

No. 16
PBE CePaSi2Pt2, relaxed; size of the total moment = 0.4 Bohr magnetons per cell; space-group type = No. 164; formation energy from raw total energies = -1.05 eV/atom; uncorrected energy = -7.45 eV/atom
1.0
4.214 0.000 0.000
-2.107 3.650 0.000
0.000 0.000 7.923
Ce Pa Si Pt
1 1 2 2
direct
0.000 0.000 0.000
0.000 0.000 0.500
0.333 0.667 0.761
0.667 0.333 0.239
0.333 0.667 0.277
0.667 0.333 0.723

---

No. 17
PBE CePaTcPt, relaxed; energy of formation = -434 meV per atom; size of the total moment = 0.0 Bohr magnetons per cell; space-group type = No. 216; uncorrected energy = -8.39 eV/atom
1.0
6.967 0.000 0.000
0.000 6.967 0.000
0.000 0.000 6.967
Ce Pa Tc Pt
4 4 4 4
direct
0.000 0.000 0.000
0.000 0.500 0.500
0.500 0.000 0.500
0.500 0.500 0.000
0.000 0.000 0.500
0.000 0.500 0.000
0.500 0.000 0.000
0.500 0.500 0.500
0.250 0.250 0.250
0.250 0.750 0.750
0.750 0.250 0.750
0.750 0.750 0.250
0.250 0.250 0.750
0.250 0.750 0.250
0.750 0.250 0.250
0.750 0.750 0.750

---

No. 18
PBE CePaZnPt, relaxed; energy of formation = -379 meV per atom; size of the total moment = 4.9 Bohr magnetons per cell; space-group type = No. 216; uncorrected energy = -6.06 eV/atom
1.0
7.087 0.000 0.000
0.000 7.087 0.000
0.000 0.000 7.087
Ce Pa Zn Pt
4 4 4 4
direct
0.000 0.000 0.000
0.000 0.500 0.500
0.500 0.000 0.500
0.500 0.500 0.000
0.000 0.000 0.500
0.000 0.500 0.000
0.500 0.000 0.000
0.500 0.500 0.500
0.250 0.250 0.250
0.250 0.750 0.750
0.750 0.250 0.750
0.750 0.750 0.250
0.250 0.250 0.750
0.250 0.750 0.250
0.750 0.250 0.250
0.750 0.750 0.750

---

No. 19
PBE CePu2Pa, relaxed; energy of formation = 174 meV per atom; size of the total moment = 10.6 Bohr magnetons per cell; space-group type = No. 123; uncorrected energy = -10.85 eV/atom; distance to the lowest polymorph of the same formula = 67.3 meV per atom
1.0
5.486 0.000 0.000
0.000 5.486 0.000
0.000 0.000 3.181
Ce Pu Pa
1 2 1
direct
0.000 0.000 0.000
0.000 0.500 0.500
0.500 0.000 0.500
0.500 0.500 0.000

---

No. 20
PBE CePuPa2, relaxed; energy of formation = 111 meV per atom; size of the total moment = 9.8 Bohr magnetons per cell; space-group type = No. 38; uncorrected energy = -9.70 eV/atom; distance to the lowest polymorph of the same formula = 57.5 meV per atom
1.0
10.699 0.000 0.000
0.000 3.160 0.000
0.000 0.000 5.820
Ce Pu Pa
2 2 4
direct
0.000 0.000 0.000
0.000 0.500 0.500
0.500 0.000 0.002
0.500 0.500 0.502
0.257 0.000 0.234
0.257 0.500 0.734
0.743 0.000 0.234
0.743 0.500 0.734